(1)
9
Lattice="4.685 -0.330 0.786 -2.304 4.092 0.786 1.473 2.328 5.823" Properties=species:S:1:pos:R:3 comment="PBE-GGA NaH6Rh2, relaxed" sg="No. 12" dft_energy_ev_per_cell=-36.5 m_tot_mub_per_fu=0.411 n_ef_per_ev_atom=0.37 pbc="T T T"
Na 2.342 -0.165 0.393
H 2.666 5.223 5.415
H 1.466 3.326 2.765
H 1.187 0.868 1.979
H 2.388 2.765 4.629
H 0.292 4.329 4.690
H 3.561 1.762 2.704
Rh 1.920 1.732 3.304
Rh 1.934 4.358 4.090

***

(2)
4
Lattice="-0.341 2.989 0.356 -4.982 -2.182 0.614 2.329 -0.345 5.090" Properties=species:S:1:pos:R:3 comment="PBE-GGA GaHgRuS, relaxed" sg="No. 8" formation_energy_uncorrected_ev_per_atom=-0.076 m_tot_mub_per_fu=0.000 n_ef_per_ev_atom=0.30 pbc="T T T"
Ru -4.089 0.223 2.045
S -1.406 -1.392 5.247
Hg -1.242 0.554 2.002
Ga -3.135 -1.401 3.700

***

(3)
4
Lattice="-1.485 -5.054 -0.869 1.653 -3.871 3.285 -3.470 -2.367 3.296" Properties=species:S:1:pos:R:3 comment="PBE-GGA TbEuZnIn, relaxed" delta_e_f_ev_per_atom=-0.35 sg="No. 216" m_tot_mub_per_fu=7.356 n_ef_per_ev_atom=1.75 pbc="T T T"
Eu -2.477 -8.469 4.284
Zn 0.000 0.000 0.000
Tb -0.826 -2.823 1.428
In -1.651 -5.646 2.856

***

Repeat the second record exactly.
4
Lattice="-0.341 2.989 0.356 -4.982 -2.182 0.614 2.329 -0.345 5.090" Properties=species:S:1:pos:R:3 comment="PBE-GGA GaHgRuS, relaxed" sg="No. 8" formation_energy_uncorrected_ev_per_atom=-0.076 m_tot_mub_per_fu=0.000 n_ef_per_ev_atom=0.30 pbc="T T T"
Ru -4.089 0.223 2.045
S -1.406 -1.392 5.247
Hg -1.242 0.554 2.002
Ga -3.135 -1.401 3.700